# 1
Er2AlGa3Ir4, optimized geometry, DFT PBE-GGA; SG = P-4m2, No. 115; DFT total energy = -6.487 eV per atom; crystal system = tetragonal
1.0
4.183 0.000 0.000
0.000 4.183 0.000
0.000 0.000 10.376
Er Ga Ir Al
2 3 4 1
Cartesian
2.091 0.000 2.398 Er
0.000 2.091 7.977 Er
0.000 0.000 5.188 Ga
0.000 2.091 1.341 Ga
2.091 0.000 9.035 Ga
0.000 2.091 3.785 Ir
2.091 2.091 0.000 Ir
0.000 0.000 0.000 Ir
2.091 0.000 6.591 Ir
2.091 2.091 5.188 Al



# 2
Ti2MoPd, optimized geometry, DFT PBE-GGA; SG = Immm, No. 71; DFT total energy = -7.684 eV per atom; crystal system = orthorhombic
1.0
4.679 -1.373 -2.982
-1.078 4.756 2.982
-3.229 -0.171 4.713
Ti Pd Mo
2 1 1
Cartesian
-1.091 1.161 1.948 Ti
-3.217 3.424 5.747 Ti
-2.154 2.293 3.847 Pd
0.000 0.000 0.000 Mo



# 3
BaLi4Hg, optimized geometry, DFT PBE-GGA; SG = F-43m, No. 216; crystal system = cubic; polymorph energy (0 for the lowest one) = 0.046 eV/atom
1.0
-4.085 -4.029 -1.320
0.999 -3.910 -4.288
0.911 -5.662 1.333
Li Ba Hg
4 1 1
Cartesian
-1.367 -8.547 -2.687 Li
0.731 -6.478 -2.009 Li
-1.880 -6.539 -0.485 Li
-1.835 -5.639 -3.371 Li
-0.544 -3.400 -1.069 Ba
0.000 0.000 0.000 Hg



# 4
Ho2TmTh, optimized geometry, DFT PBE-GGA; SG = P4/mmm, No. 123; crystal system = tetragonal; polymorph energy (0 for the lowest one) = 0.010 eV/atom
1.0
5.007 0.000 0.000
0.000 4.979 0.000
0.000 0.000 4.979
Tm Ho Th
1 2 1
Cartesian
2.504 0.000 0.000 Tm
0.000 0.000 2.490 Ho
0.000 2.490 0.000 Ho
2.504 2.490 2.490 Th



# 5
ZrBe3Pt3, optimized geometry, DFT PBE-GGA; SG = Pm-3n, No. 223; DFT total energy = -5.570 eV per atom; crystal system = cubic
1.0
-0.267 3.399 5.029
-6.069 -0.050 -0.288
-0.120 -5.036 3.397
Be Pt Zr
6 6 2
Cartesian
-3.101 0.825 1.113 Be
-0.223 -2.077 5.062 Be
-4.612 -2.555 1.482 Be
-0.163 0.441 3.364 Be
-3.235 2.524 3.628 Be
-1.577 -2.530 1.627 Be
-1.651 1.687 2.442 Pt
-3.064 -1.284 0.705 Pt
-3.124 -3.802 2.404 Pt
-0.260 0.031 5.470 Pt
-4.685 1.662 2.298 Pt
-0.127 -1.668 2.956 Pt
-3.228 -0.843 4.069 Zr
0.000 0.000 0.000 Zr



# 6
PrHoTlHg, optimized geometry, DFT PBE-GGA; SG = F-43m, No. 216; crystal system = cubic; polymorph energy (0 for the lowest one) = 0.015 eV/atom
1.0
-4.260 1.787 2.829
-4.531 -2.959 0.232
-1.401 -2.450 4.624
Ho Hg Tl Pr
1 1 1 1
Cartesian
-2.548 -0.905 1.921 Ho
-5.096 -1.811 3.842 Hg
0.000 0.000 0.000 Tl
-7.644 -2.716 5.763 Pr